Entry 1:
First-principles (PBE) data for crystalline W4Au at its relaxed geometry, as listed in Alexandria via LeMat-Bulk.

* size of the total moment: 0.00 μB/f.u.
* polymorph energy (0 for the lowest one): 0.000 eV per atom
* raw total energy: -10.60 eV/atom
* formation energy: 2.07 eV/f.u.
* symmetry: No. 87

```
W4Au
1.0
-3.1990 3.1990 2.0052
3.1990 -3.1990 2.0052
3.1990 3.1990 -2.0052
W Au
4 1
Cartesian
0.6477 1.9266 2.0052 W
1.2725 3.8467 0.0000 W
1.9266 -0.6477 2.0052 W
2.5513 1.2725 0.0000 W
0.0000 0.0000 0.0000 Au
```

---

Entry 2:
First-principles (PBE) data for crystalline MnVS2 at its relaxed geometry, as listed in Alexandria via LeMat-Bulk.

* size of the total moment: 4.00 μB/f.u.
* polymorph energy (0 for the lowest one): 0.000 eV per atom
* raw total energy: -7.23 eV/atom
* formation energy from raw total energies: -57.4 kJ per mole of atoms
* symmetry: No. 160

```
MnVS2
1.0
3.2291 0.0000 0.0000
1.6145 2.7965 0.0000
1.6145 0.9322 6.3763
V Mn S
1 1 2
Cartesian
3.2291 1.8643 3.1477 V
3.2291 1.8643 0.0859 Mn
1.6145 0.9322 1.6458 S
1.6145 0.9322 4.6850 S
```

---

Entry 3:
First-principles (PBE) data for crystalline CsIF at its relaxed geometry, as listed in Alexandria via LeMat-Bulk.

* size of the total moment: 0.00 μB/f.u.
* raw total energy: -2.95 eV/atom
* formation energy from raw total energies: -147.5 kJ per mole of atoms
* symmetry: No. 62

```
CsIF
1.0
3.7385 0.0000 0.0000
0.0000 7.4937 0.0000
0.0000 0.0000 15.4510
F I Cs
4 4 4
Cartesian
2.8039 6.3903 4.4525 F
2.8039 2.6435 3.2730 F
0.9346 1.1033 10.9985 F
0.9346 4.8501 12.1780 F
0.9346 1.0095 0.8445 I
2.8039 2.7373 8.5700 I
0.9346 4.7563 6.8810 I
2.8039 6.4842 14.6065 I
0.9346 1.0566 4.8507 Cs
2.8039 2.6902 12.5762 Cs
0.9346 4.8034 2.8748 Cs
2.8039 6.4370 10.6004 Cs
```

---

Entry 4:
First-principles (PBE) data for crystalline Pm4Sm19Ho6 at its relaxed geometry, as listed in Alexandria via LeMat-Bulk.

* size of the total moment: 0.00 μB/f.u.
* raw total energy: -4.32 eV/atom
* formation energy: 10.86 eV/f.u.
* symmetry: No. 197

```
Pm4Sm19Ho6
1.0
10.3032 0.0000 -3.6428
-5.1516 8.9229 -3.6427
0.0000 0.0000 10.9283
Sm Ho Pm
19 6 4
Cartesian
1.3399 2.3208 -1.8950 Sm
-3.9333 7.1116 0.7622 Sm
-0.6788 6.9622 6.7218 Sm
4.5591 1.8112 -0.3197 Sm
7.6234 0.0000 5.3905 Sm
-1.3399 2.3208 1.8950 Sm
-3.8117 6.6020 5.3906 Sm
3.5675 5.8802 0.1212 Sm
-0.5384 4.8539 -0.5638 Sm
2.9739 8.7734 -2.8805 Sm
6.4551 3.0427 -3.9624 Sm
1.2172 6.0296 3.0790 Sm
4.4406 4.0689 3.3231 Sm
0.9594 1.9607 4.4050 Sm
3.8117 6.6020 -5.3905 Sm
8.4602 2.8932 3.7640 Sm
0.0000 0.0000 0.0000 Sm
3.4271 0.1495 7.4067 Sm
2.6799 0.0000 1.8950 Sm
7.0880 3.3538 0.9044 Ho
0.6395 7.8152 -0.9044 Ho
1.2968 4.4614 6.3811 Ho
-1.9363 5.5691 2.7384 Ho
4.5121 1.1076 4.5471 Ho
3.8548 4.4614 -2.7384 Ho
0.0000 0.0000 6.9630 Pm
1.8692 3.2376 1.3218 Pm
6.5648 0.0000 -2.3210 Pm
-3.2824 5.6852 -2.3210 Pm
```

---

Entry 5:
First-principles (PBE) data for crystalline NdSm2Ir at its relaxed geometry, as listed in Alexandria via LeMat-Bulk.

* size of the total moment: 0.00 μB/f.u.
* polymorph energy (0 for the lowest one): 0.175 eV per atom
* raw total energy: -6.07 eV/atom
* formation energy: -1.21 eV/f.u.
* symmetry: No. 160

```
NdSm2Ir
1.0
-1.7333 -3.6507 -0.0663
-0.5095 -1.9318 -3.5136
7.4690 -5.7795 -0.2303
Nd Sm Ir
1 2 1
Cartesian
2.5777 -5.6641 -1.9092 Nd
6.0851 -5.1195 -0.3925 Sm
0.6590 -2.5317 -1.0284 Sm
-1.4825 -3.7277 -2.3851 Ir
```

---

Entry 6:
First-principles (PBE) data for crystalline BaCa2SbH at its relaxed geometry, as listed in Alexandria via LeMat-Bulk.

* size of the total moment: 0.00 μB/f.u.
* raw total energy: -3.18 eV/atom
* symmetry: No. 123

```
BaCa2SbH
1.0
5.1415 0.0000 0.0000
0.0000 5.1415 0.0000
0.0000 0.0000 5.2256
Ca Ba H Sb
2 1 1 1
Cartesian
2.5707 0.0000 0.0000 Ca
0.0000 2.5707 0.0000 Ca
0.0000 0.0000 2.6128 Ba
0.0000 0.0000 0.0000 H
2.5707 2.5707 2.6128 Sb
```

---

Entry 7:
First-principles (PBE) data for crystalline LiLa2Re at its relaxed geometry, as listed in Alexandria via LeMat-Bulk.

* size of the total moment: 0.01 μB/f.u.
* raw total energy: -5.63 eV/atom
* formation energy: 1.69 eV/f.u.
* symmetry: No. 119

```
LiLa2Re
1.0
5.6081 0.0018 0.0000
2.0770 5.2093 0.0000
-3.8425 -2.6056 3.1459
La Re Li
2 1 1
Cartesian
1.0385 2.6047 1.5729 La
0.0000 0.0000 0.0000 La
2.8040 0.0009 1.5729 Re
3.8425 2.6056 0.0000 Li
```

---

Entry 8:
First-principles (PBE) data for crystalline LiNiI at its relaxed geometry, as listed in Alexandria via LeMat-Bulk.

* size of the total moment: 0.00 μB/f.u.
* polymorph energy (0 for the lowest one): 0.050 eV per atom
* raw total energy: -3.30 eV/atom
* formation energy from raw total energies: -20.7 kJ per mole of atoms
* symmetry: No. 5

```
LiNiI
1.0
21.5657 0.0000 -0.0116
6.8234 2.2659 -1.1762
-6.8234 2.2659 1.1762
Li I Ni
2 2 2
Cartesian
10.7829 1.8429 -0.0058 Li
0.0000 0.1552 0.0000 Li
1.8621 2.3398 0.6916 I
19.7036 2.3398 -0.7032 I
17.4470 1.6971 0.1213 Ni
4.1187 1.6971 -0.1329 Ni
```

---

Entry 9:
First-principles (PBE) data for crystalline SmYTmMg at its relaxed geometry, as listed in Alexandria via LeMat-Bulk.

* size of the total moment: 0.00 μB/f.u.
* polymorph energy (0 for the lowest one): 0.055 eV per atom
* raw total energy: -4.29 eV/atom
* formation energy: 0.10 eV/f.u.
* symmetry: No. 216

```
SmYTmMg
1.0
-2.0652 0.7867 -5.0562
-4.7460 -2.4141 -1.4482
-4.5505 3.0466 -0.6784
Mg Y Tm Sm
1 1 1 1
Cartesian
-5.6808 0.7096 -3.5914 Mg
-8.5212 1.0644 -5.3871 Y
0.0000 0.0000 0.0000 Tm
-2.8404 0.3548 -1.7957 Sm
```

---

Entry 10:
First-principles (PBE) data for crystalline RbHfRe2 at its relaxed geometry, as listed in Alexandria via LeMat-Bulk.

* size of the total moment: 0.00 μB/f.u.
* polymorph energy (0 for the lowest one): 0.000 eV per atom
* raw total energy: -7.25 eV/atom
* formation energy: 6.80 eV/f.u.
* symmetry: No. 122

```
RbHfRe2
1.0
-4.3117 1.2079 -1.9133
-1.5360 -4.5860 0.5661
-6.1504 0.4564 7.9521
Hf Rb Re
2 2 4
Cartesian
0.0000 0.0000 0.0000 Hf
-6.6930 -0.0123 2.6826 Hf
-2.9238 -1.6890 -0.6736 Rb
-5.3051 -2.9093 3.9223 Rb
-5.7706 0.6730 0.2656 Re
-6.3261 0.5074 5.2821 Re
-6.0020 -1.7703 0.7868 Re
-8.6731 0.5406 4.3959 Re
```

---

Entry 11:
First-principles (PBE) data for crystalline PmNi6P4 at its relaxed geometry, as listed in Alexandria via LeMat-Bulk.

* size of the total moment: 0.00 μB/f.u.
* raw total energy: -6.22 eV/atom
* formation energy: -7.29 eV/f.u.
* symmetry: No. 187

```
PmNi6P4
1.0
3.6705 0.0000 0.0000
0.0000 6.6179 0.0000
0.0000 -3.3089 5.7313
Ni P Pm
6 4 1
Cartesian
0.0000 2.0170 2.6563 Ni
0.0000 3.3089 0.4186 Ni
0.0000 4.6009 2.6563 Ni
1.8352 0.0000 2.3402 Ni
1.8352 1.2823 4.5612 Ni
1.8352 -1.2823 4.5612 Ni
1.8352 4.7125 1.1001 P
1.8352 1.9054 1.1001 P
0.0000 0.0000 3.8208 P
1.8352 3.3089 3.5311 P
0.0000 0.0000 0.0000 Pm
```

---

Entry 12:
First-principles (PBE) data for crystalline TaGaI2 at its relaxed geometry, as listed in Alexandria via LeMat-Bulk.

* size of the total moment: 0.00 μB/f.u.
* polymorph energy (0 for the lowest one): 0.002 eV per atom
* raw total energy: -4.58 eV/atom
* formation energy from raw total energies: -8.4 kJ per mole of atoms
* symmetry: No. 6

```
TaGaI2
1.0
3.8687 0.0000 -0.0003
0.0000 3.7153 0.0000
-1.9051 0.0000 8.5144
I Ta Ga
2 1 1
Cartesian
0.7518 1.8577 6.7726 I
2.6577 0.0000 3.1515 I
2.6538 1.8577 0.9879 Ta
0.7186 0.0000 0.5148 Ga
```